Entry a
# BaAlZnAg2 | the Alexandria database | PBE-GGA | optimized geometry
data_BaAlZnAg2
_chemical_formula_sum 'Ba1 Al1 Zn1 Ag2'
_cell_length_a 5.104
_cell_length_b 5.104
_cell_length_c 5.046
_cell_angle_alpha 90.00
_cell_angle_beta 90.00
_cell_angle_gamma 90.00
_space_group_name_H-M_alt 'P 4/m m m'
_space_group_IT_number 123
_space_group_name_Hall '-P 4 2'
loop_
_atom_site_label
_atom_site_fract_x
_atom_site_fract_y
_atom_site_fract_z
Ba1 0.000 0.000 0.000
Al1 0.500 0.500 0.500
Zn1 0.500 0.500 0.000
Ag1 0.000 0.500 0.500
# DOS at the Fermi energy: 0.541 states/eV per atom
# Volume: 26.289 Å³ per atom

Entry b
# BaAlZnAg2 | the Alexandria database | PBE-GGA | optimized geometry
data_BaAlZnAg2
_chemical_formula_sum 'Ba2 Al2 Zn2 Ag4'
_cell_length_a 4.499
_cell_length_b 4.651
_cell_length_c 11.533
_cell_angle_alpha 90.00
_cell_angle_beta 90.00
_cell_angle_gamma 90.00
_space_group_name_H-M_alt 'I m m 2'
_space_group_IT_number 44
_space_group_name_Hall 'I 2 -2'
loop_
_atom_site_label
_atom_site_fract_x
_atom_site_fract_y
_atom_site_fract_z
Ba1 0.000 0.000 0.000
Al1 0.000 0.500 0.748
Zn1 0.000 0.000 0.622
Ag1 0.000 0.000 0.382
Ag2 0.000 0.500 0.244
# DOS at the Fermi energy: 0.589 states/eV per atom
# Volume: 24.132 Å³ per atom

Energetically preferred structure: entry b | next structure: +0.105 eV/atom

Entry a
# Be3AlAg | the Alexandria database | PBE-GGA | optimized geometry
data_Be3AlAg
_chemical_formula_sum 'Be3 Al1 Ag1'
_cell_length_a 4.312
_cell_length_b 4.312
_cell_length_c 4.312
_cell_angle_alpha 90.00
_cell_angle_beta 90.00
_cell_angle_gamma 90.00
_space_group_name_H-M_alt 'P m -3 m'
_space_group_IT_number 221
_space_group_name_Hall '-P 4 2 3'
loop_
_atom_site_label
_atom_site_fract_x
_atom_site_fract_y
_atom_site_fract_z
Be1 0.000 0.000 0.500
Al1 0.000 0.000 0.000
Ag1 0.500 0.500 0.500
# DOS at the Fermi energy: 0.216 states/eV per atom
# Volume: 16.037 Å³ per atom

Entry b
# Be3AlAg | the Alexandria database | PBE-GGA | optimized geometry
data_Be3AlAg
_chemical_formula_sum 'Be3 Al1 Ag1'
_cell_length_a 4.312
_cell_length_b 4.312
_cell_length_c 4.312
_cell_angle_alpha 90.00
_cell_angle_beta 90.00
_cell_angle_gamma 90.00
_space_group_name_H-M_alt 'P m -3 m'
_space_group_IT_number 221
_space_group_name_Hall '-P 4 2 3'
loop_
_atom_site_label
_atom_site_fract_x
_atom_site_fract_y
_atom_site_fract_z
Be1 0.000 0.000 0.500
Al1 0.500 0.500 0.500
Ag1 0.000 0.000 0.000
# DOS at the Fermi energy: 0.305 states/eV per atom
# Volume: 16.040 Å³ per atom

Energetically preferred structure: entry b | next structure: +0.156 eV/atom

Entry a
# BeAlAg3 | the Alexandria database | PBE-GGA | optimized geometry
data_BeAlAg3
_chemical_formula_sum 'Be1 Al1 Ag3'
_cell_length_a 4.455
_cell_length_b 4.455
_cell_length_c 4.455
_cell_angle_alpha 90.00
_cell_angle_beta 90.00
_cell_angle_gamma 90.00
_space_group_name_H-M_alt 'P m -3 m'
_space_group_IT_number 221
_space_group_name_Hall '-P 4 2 3'
loop_
_atom_site_label
_atom_site_fract_x
_atom_site_fract_y
_atom_site_fract_z
Be1 0.000 0.000 0.000
Al1 0.500 0.500 0.500
Ag1 0.000 0.000 0.500
# DOS at the Fermi energy: 0.356 states/eV per atom
# Volume: 17.680 Å³ per atom

Entry b
# BeAlAg3 | the Alexandria database | PBE-GGA | optimized geometry
data_BeAlAg3
_chemical_formula_sum 'Be1 Al1 Ag3'
_cell_length_a 4.805
_cell_length_b 4.805
_cell_length_c 4.805
_cell_angle_alpha 90.00
_cell_angle_beta 90.00
_cell_angle_gamma 90.00
_space_group_name_H-M_alt 'P m -3 m'
_space_group_IT_number 221
_space_group_name_Hall '-P 4 2 3'
loop_
_atom_site_label
_atom_site_fract_x
_atom_site_fract_y
_atom_site_fract_z
Be1 0.000 0.000 0.000
Al1 0.500 0.500 0.500
Ag1 0.000 0.500 0.500
# DOS at the Fermi energy: 0.442 states/eV per atom
# Volume: 22.192 Å³ per atom

Energetically preferred structure: entry a | next structure: +0.533 eV/atom

Entry a
# Al2Ag2Bi | the Alexandria database | PBE-GGA | optimized geometry
data_Al2Ag2Bi
_chemical_formula_sum 'Al4 Ag4 Bi2'
_cell_length_a 8.348
_cell_length_b 8.348
_cell_length_c 2.936
_cell_angle_alpha 90.00
_cell_angle_beta 90.00
_cell_angle_gamma 90.00
_space_group_name_H-M_alt 'P 4/m b m'
_space_group_IT_number 127
_space_group_name_Hall '-P 4 2ab'
loop_
_atom_site_label
_atom_site_fract_x
_atom_site_fract_y
_atom_site_fract_z
Al1 0.123 0.377 0.000
Ag1 0.172 0.672 0.500
Bi1 0.000 0.000 0.000
# DOS at the Fermi energy: 0.378 states/eV per atom
# Volume: 20.461 Å³ per atom

Entry b
# Al2Ag2Bi | the Alexandria database | PBE-GGA | optimized geometry
data_Al2Ag2Bi
_chemical_formula_sum 'Al4 Ag4 Bi2'
_cell_length_a 4.071
_cell_length_b 4.071
_cell_length_c 12.614
_cell_angle_alpha 90.00
_cell_angle_beta 90.00
_cell_angle_gamma 90.00
_space_group_name_H-M_alt 'I 4/m m m'
_space_group_IT_number 139
_space_group_name_Hall '-I 4 2'
loop_
_atom_site_label
_atom_site_fract_x
_atom_site_fract_y
_atom_site_fract_z
Al1 0.000 0.500 0.250
Ag1 0.000 0.000 0.113
Bi1 0.000 0.000 0.500
# DOS at the Fermi energy: 0.414 states/eV per atom
# Volume: 20.910 Å³ per atom

Energetically preferred structure: entry b | next structure: +0.067 eV/atom

Entry a
# Al2Ag2Bi | the Alexandria database | PBE-GGA | optimized geometry
data_Al2Ag2Bi
_chemical_formula_sum 'Al4 Ag4 Bi2'
_cell_length_a 8.039
_cell_length_b 8.039
_cell_length_c 3.172
_cell_angle_alpha 90.00
_cell_angle_beta 90.00
_cell_angle_gamma 90.00
_space_group_name_H-M_alt 'P 4/m b m'
_space_group_IT_number 127
_space_group_name_Hall '-P 4 2ab'
loop_
_atom_site_label
_atom_site_fract_x
_atom_site_fract_y
_atom_site_fract_z
Al1 0.163 0.337 0.000
Ag1 0.130 0.630 0.500
Bi1 0.000 0.000 0.500
# DOS at the Fermi energy: 0.353 states/eV per atom
# Volume: 20.499 Å³ per atom

Entry b
# Al2Ag2Bi | the Alexandria database | PBE-GGA | optimized geometry
data_Al2Ag2Bi
_chemical_formula_sum 'Al4 Ag4 Bi2'
_cell_length_a 4.236
_cell_length_b 4.236
_cell_length_c 11.769
_cell_angle_alpha 90.00
_cell_angle_beta 90.00
_cell_angle_gamma 90.00
_space_group_name_H-M_alt 'I 4/m m m'
_space_group_IT_number 139
_space_group_name_Hall '-I 4 2'
loop_
_atom_site_label
_atom_site_fract_x
_atom_site_fract_y
_atom_site_fract_z
Al1 0.000 0.000 0.108
Ag1 0.000 0.500 0.250
Bi1 0.000 0.000 0.500
# DOS at the Fermi energy: 0.569 states/eV per atom
# Volume: 21.113 Å³ per atom

Energetically preferred structure: entry a | next structure: +0.008 eV/atom

Entry a
# AlAgBr3 | the Alexandria database | PBE-GGA | optimized geometry
data_AlAgBr3
_chemical_formula_sum 'Al1 Ag1 Br3'
_cell_length_a 5.169
_cell_length_b 5.169
_cell_length_c 5.169
_cell_angle_alpha 90.00
_cell_angle_beta 90.00
_cell_angle_gamma 90.00
_space_group_name_H-M_alt 'P m -3 m'
_space_group_IT_number 221
_space_group_name_Hall '-P 4 2 3'
loop_
_atom_site_label
_atom_site_fract_x
_atom_site_fract_y
_atom_site_fract_z
Al1 0.000 0.000 0.000
Ag1 0.500 0.500 0.500
Br1 0.000 0.000 0.500
# DOS at the Fermi energy: 0.181 states/eV per atom
# Volume: 27.614 Å³ per atom

Entry b
# AlAgBr3 | the Alexandria database | PBE-GGA | optimized geometry
data_AlAgBr3
_chemical_formula_sum 'Al1 Ag1 Br3'
_cell_length_a 5.349
_cell_length_b 5.349
_cell_length_c 5.349
_cell_angle_alpha 90.00
_cell_angle_beta 90.00
_cell_angle_gamma 90.00
_space_group_name_H-M_alt 'P m -3 m'
_space_group_IT_number 221
_space_group_name_Hall '-P 4 2 3'
loop_
_atom_site_label
_atom_site_fract_x
_atom_site_fract_y
_atom_site_fract_z
Al1 0.000 0.000 0.000
Ag1 0.500 0.500 0.500
Br1 0.000 0.500 0.500
# DOS at the Fermi energy: 0.386 states/eV per atom
# Volume: 30.616 Å³ per atom

Energetically preferred structure: entry a | next structure: +0.236 eV/atom